Below is PrSmHo2 after structural relaxation, with properties calculated at the PBE-GGA level.

Lattice parameters (Å, degrees): 5.1172 7.1674 10.0517 134.48 90.00 90.00
Element x y z (fractional)
1 Pr 0.9105 0.1995 0.3646
2 Pr 0.4105 0.7049 0.6172
3 Sm 0.4105 0.6994 0.1145
4 Sm 0.9105 0.2050 0.8672
5 Ho 0.9105 0.7021 0.8666
6 Ho 0.4105 0.2023 0.1152
7 Ho 0.4105 0.2022 0.6167
8 Ho 0.9105 0.7022 0.3651

Output
Its space group is Cmcm, No. 63. The crystal system is orthorhombic. For the total energy, the calculation gives -0.1707 hartree per atom. As for the density of states at the Fermi level: 1.429 states/eV per atom. Its formation energy is 0.02 eV per atom.